First-principles (PBE) data for a relaxed structure of SnTeBr, as listed in the Alexandria database.

Unit cell a=5.362 b=5.362 c=3.409 alpha=90.00 beta=90.00 gamma=120.00
Element x y z (fractional)
Sn  0.000  0.000  0.000
Te  0.667  0.333  0.261
Br  0.333  0.667  0.756

Values from the calculation:
**DOS(E_F)**: 2.1 states/eV/f.u.


First-principles (PBE) data for a relaxed structure of SnTe3Br, as listed in the Alexandria database.

Unit cell a=5.586 b=5.586 c=5.586 alpha=90.00 beta=90.00 gamma=90.00
Element x y z (fractional)
Sn  0.000  0.000  0.000
Te  0.000  0.500  0.500
Te  0.500  0.000  0.500
Te  0.500  0.500  0.000
Br  0.500  0.500  0.500

Values from the calculation:
**DOS(E_F)**: 2.6 states/eV/f.u.
**ΔE to the lowest computed polymorph**: 94 meV per atom


First-principles (PBE) data for a relaxed structure of Sn2Te2Br, as listed in the Alexandria database.

Unit cell a=7.931 b=7.931 c=7.931 alpha=143.66 beta=143.66 gamma=52.34
Element x y z (fractional)
Sn  0.119  0.119  0.000
Sn  0.881  0.881  0.000
Te  0.250  0.750  0.500
Te  0.750  0.250  0.500
Br  0.500  0.500  0.000

Values from the calculation:
**DOS(E_F)**: 1.6 states/eV/f.u.
**ΔE to the lowest computed polymorph**: 165 meV per atom


First-principles (PBE) data for a relaxed structure of Sn4Te2Br5, as listed in the Alexandria database.

Unit cell a=4.322 b=10.039 c=12.194 alpha=84.46 beta=89.97 gamma=77.77
Element x y z (fractional)
Sn  0.010  0.486  0.195
Sn  0.343  0.818  0.613
Sn  0.657  0.182  0.387
Sn  0.990  0.514  0.805
Te  0.495  0.507  0.634
Te  0.505  0.493  0.366
Br  0.147  0.205  0.196
Br  0.161  0.175  0.549
Br  0.500  0.500  0.000
Br  0.839  0.825  0.451
Br  0.853  0.795  0.804

Values from the calculation:
**DOS(E_F)**: 1.0 states/eV/f.u.


First-principles (PBE) data for a relaxed structure of Sn3Te2Br2, as listed in the Alexandria database.

Unit cell a=7.783 b=7.783 c=7.899 alpha=102.68 beta=102.68 gamma=33.67
Element x y z (fractional)
Sn  0.000  0.000  0.000
Sn  0.249  0.249  0.773
Sn  0.751  0.751  0.227
Te  0.378  0.378  0.129
Te  0.622  0.622  0.871
Br  0.132  0.132  0.346
Br  0.868  0.868  0.654

Values from the calculation:
**ΔE to the lowest computed polymorph**: 0 meV per atom


First-principles (PBE) data for a relaxed structure of Sn2Te2Br, as listed in the Alexandria database.

Unit cell a=6.174 b=4.304 c=12.960 alpha=90.00 beta=90.06 gamma=90.00
Element x y z (fractional)
Sn  0.249  0.250  0.229
Sn  0.250  0.250  0.603
Sn  0.750  0.750  0.397
Sn  0.751  0.750  0.771
Te  0.250  0.750  0.413
Te  0.251  0.750  0.767
Te  0.749  0.250  0.233
Te  0.750  0.250  0.587
Br  0.250  0.750  0.082
Br  0.750  0.250  0.918

Values from the calculation:
**DOS(E_F)**: 2.5 states/eV/f.u.
**ΔE to the lowest computed polymorph**: 0 meV per atom


First-principles (PBE) data for a relaxed structure of Sn2TeBr2, as listed in the Alexandria database.

Unit cell a=7.775 b=7.775 c=7.775 alpha=144.96 beta=144.96 gamma=50.40
Element x y z (fractional)
Sn  0.114  0.114  0.000
Sn  0.886  0.886  0.000
Te  0.500  0.500  0.000
Br  0.250  0.750  0.500
Br  0.750  0.250  0.500

Values from the calculation:
**DOS(E_F)**: 0.0 states/eV/f.u.
**ΔE to the lowest computed polymorph**: 285 meV per atom


First-principles (PBE) data for a relaxed structure of Sn2Te2Br, as listed in the Alexandria database.

Unit cell a=7.437 b=7.437 c=7.437 alpha=146.17 beta=131.73 gamma=60.25
Element x y z (fractional)
Sn  0.184  0.184  0.000
Sn  0.816  0.816  0.000
Te  0.349  0.849  0.500
Te  0.651  0.151  0.500
Br  0.000  0.500  0.500

Values from the calculation:
**DOS(E_F)**: 1.6 states/eV/f.u.
**ΔE to the lowest computed polymorph**: 0 meV per atom


First-principles (PBE) data for a relaxed structure of Sn4TeBr6, as listed in the Alexandria database.

Unit cell a=10.825 b=10.825 c=7.550 alpha=90.00 beta=90.00 gamma=120.00
Element x y z (fractional)
Sn  0.183  0.367  0.000
Sn  0.183  0.817  0.000
Sn  0.333  0.667  0.450
Sn  0.367  0.183  0.500
Sn  0.633  0.817  0.000
Sn  0.667  0.333  0.950
Sn  0.817  0.183  0.500
Sn  0.817  0.633  0.500
Te  0.333  0.667  0.867
Te  0.667  0.333  0.367
Br  0.067  0.533  0.268
Br  0.136  0.273  0.636
Br  0.136  0.864  0.636
Br  0.273  0.136  0.136
Br  0.467  0.533  0.268
Br  0.467  0.933  0.268
Br  0.533  0.067  0.768
Br  0.533  0.467  0.768
Br  0.727  0.864  0.636
Br  0.864  0.136  0.136
Br  0.864  0.727  0.136
Br  0.933  0.467  0.768


First-principles (PBE) data for a relaxed structure of Sn2Te2Br, as listed in the Alexandria database.

Unit cell a=8.571 b=8.571 c=4.094 alpha=90.00 beta=90.00 gamma=90.00
Element x y z (fractional)
Sn  0.175  0.325  0.000
Sn  0.325  0.825  0.000
Sn  0.675  0.175  0.000
Sn  0.825  0.675  0.000
Te  0.138  0.638  0.500
Te  0.362  0.138  0.500
Te  0.638  0.862  0.500
Te  0.862  0.362  0.500
Br  0.000  0.000  0.000
Br  0.500  0.500  0.000

Values from the calculation:
**DOS(E_F)**: 1.2 states/eV/f.u.
**ΔE to the lowest computed polymorph**: 81 meV per atom


First-principles (PBE) data for a relaxed structure of SnTe3Br, as listed in the Alexandria database.

Unit cell a=5.722 b=5.722 c=5.722 alpha=90.00 beta=90.00 gamma=90.00
Element x y z (fractional)
Sn  0.000  0.000  0.000
Te  0.000  0.000  0.500
Te  0.000  0.500  0.000
Te  0.500  0.000  0.000
Br  0.500  0.500  0.500

Values from the calculation:
**DOS(E_F)**: 9.3 states/eV/f.u.
**ΔE to the lowest computed polymorph**: 0 meV per atom


First-principles (PBE) data for a relaxed structure of Sn2Te2Br, as listed in the Alexandria database.

Unit cell a=8.860 b=8.860 c=3.915 alpha=90.00 beta=90.00 gamma=90.00
Element x y z (fractional)
Sn  0.149  0.351  0.000
Sn  0.351  0.851  0.000
Sn  0.649  0.149  0.000
Sn  0.851  0.649  0.000
Te  0.140  0.640  0.500
Te  0.360  0.140  0.500
Te  0.640  0.860  0.500
Te  0.860  0.360  0.500
Br  0.000  0.000  0.500
Br  0.500  0.500  0.500

Values from the calculation:
**DOS(E_F)**: 2.5 states/eV/f.u.
**ΔE to the lowest computed polymorph**: 245 meV per atom


First-principles (PBE) data for a relaxed structure of ZnSn2TeBr, as listed in the Alexandria database.

Unit cell a=5.663 b=5.663 c=5.698 alpha=90.00 beta=90.00 gamma=90.00
Element x y z (fractional)
Zn  0.000  0.000  0.000
Sn  0.000  0.500  0.500
Sn  0.500  0.000  0.500
Te  0.500  0.500  0.000
Br  0.500  0.500  0.500

Values from the calculation:
**DOS(E_F)**: 2.8 states/eV/f.u.


First-principles (PBE) data for a relaxed structure of Ti2SnBr, as listed in the Alexandria database.

Unit cell a=4.789 b=4.789 c=4.789 alpha=60.00 beta=60.00 gamma=60.00
Element x y z (fractional)
Ti  0.250  0.250  0.250
Ti  0.750  0.750  0.750
Sn  0.000  0.000  0.000
Br  0.500  0.500  0.500

Values from the calculation:
**DOS(E_F)**: 4.0 states/eV/f.u.
**ΔE to the lowest computed polymorph**: 0 meV per atom


First-principles (PBE) data for a relaxed structure of TiSnBr3, as listed in the Alexandria database.

Unit cell a=5.245 b=5.245 c=5.245 alpha=90.00 beta=90.00 gamma=90.00
Element x y z (fractional)
Ti  0.000  0.000  0.000
Sn  0.500  0.500  0.500
Br  0.000  0.000  0.500
Br  0.000  0.500  0.000
Br  0.500  0.000  0.000

Values from the calculation:
**DOS(E_F)**: 6.6 states/eV/f.u.
**ΔE to the lowest computed polymorph**: 0 meV per atom


First-principles (PBE) data for a relaxed structure of Ti3SnBr, as listed in the Alexandria database.

Unit cell a=4.689 b=4.689 c=4.689 alpha=90.00 beta=90.00 gamma=90.00
Element x y z (fractional)
Ti  0.000  0.000  0.500
Ti  0.000  0.500  0.000
Ti  0.500  0.000  0.000
Sn  0.500  0.500  0.500
Br  0.000  0.000  0.000

Values from the calculation:
**DOS(E_F)**: 7.2 states/eV/f.u.
**ΔE to the lowest computed polymorph**: 0 meV per atom


First-principles (PBE) data for a relaxed structure of Ti2SnBr, as listed in the Alexandria database.

Unit cell a=8.536 b=8.536 c=8.536 alpha=144.47 beta=144.47 gamma=51.13
Element x y z (fractional)
Ti  0.084  0.625  0.959
Ti  0.375  0.334  0.459
Ti  0.666  0.125  0.041
Ti  0.875  0.916  0.541
Sn  0.250  0.750  0.500
Sn  0.500  0.500  0.000
Br  0.000  0.000  0.000
Br  0.750  0.250  0.500

Values from the calculation:
**DOS(E_F)**: 4.5 states/eV/f.u.
**ΔE to the lowest computed polymorph**: 362 meV per atom


First-principles (PBE) data for a relaxed structure of Ti3SnBr, as listed in the Alexandria database.

Unit cell a=5.272 b=5.272 c=5.272 alpha=90.00 beta=90.00 gamma=90.00
Element x y z (fractional)
Ti  0.000  0.000  0.500
Ti  0.000  0.500  0.000
Ti  0.500  0.000  0.000
Sn  0.000  0.000  0.000
Br  0.500  0.500  0.500

Values from the calculation:
**DOS(E_F)**: 5.8 states/eV/f.u.
**ΔE to the lowest computed polymorph**: 569 meV per atom


First-principles (PBE) data for a relaxed structure of TiTlSnBr6, as listed in the Alexandria database.

Unit cell a=7.350 b=7.350 c=7.029 alpha=90.00 beta=90.00 gamma=120.00
Element x y z (fractional)
Ti  0.000  0.000  0.000
Tl  0.333  0.667  0.500
Sn  0.667  0.333  0.000
Br  0.296  0.016  0.217
Br  0.296  0.280  0.783
Br  0.720  0.016  0.783
Br  0.720  0.704  0.217
Br  0.984  0.280  0.217
Br  0.984  0.704  0.783

Values from the calculation:
**DOS(E_F)**: 6.5 states/eV/f.u.


First-principles (PBE) data for a relaxed structure of TlSn3Br, as listed in the Alexandria database.

Unit cell a=5.662 b=5.662 c=5.662 alpha=90.00 beta=90.00 gamma=90.00
Element x y z (fractional)
Tl  0.000  0.000  0.000
Sn  0.000  0.500  0.500
Sn  0.500  0.000  0.500
Sn  0.500  0.500  0.000
Br  0.500  0.500  0.500

Values from the calculation:
**DOS(E_F)**: 1.4 states/eV/f.u.
**ΔE to the lowest computed polymorph**: 0 meV per atom


Ordered ΔE_f (raw) results: -0.114 0.587 -0.192 -0.531 -0.467 -0.356 -0.267 -0.356 -0.561 -0.275 0.494 -0.111 0.697 -0.031 -0.443 0.317 0.331 0.886 -0.969 0.460; unit eV/atom.